Computed, not measured: a geometry-optimized Ho4Tl2InHg structure at the GGA-PBE level of DFT.

Properties
volume	26.453	Å³ per atom
raw total energy	-29.214	eV per formula unit
calculated formation energy	-0.39	eV per atom

Geometry as CIF:
```
data_Ho4Tl2InHg
_symmetry_space_group_name_H-M 'R -3 m'
_symmetry_Int_Tables_number 166
_symmetry_space_group_name_Hall '-R 3 2"'
_cell_length_a 5.3120
_cell_length_b 5.3120
_cell_length_c 25.9791
_cell_angle_alpha 90.00
_cell_angle_beta 90.00
_cell_angle_gamma 120.00
loop_
_atom_site_label
_atom_site_fract_x
_atom_site_fract_y
_atom_site_fract_z
Ho1 0.0000 0.0000 0.1239
Ho2 0.0000 0.0000 0.3740
Tl1 0.0000 0.0000 0.2506
In1 0.0000 0.0000 0.5000
Hg1 0.0000 0.0000 0.0000
```